Computed, not measured: an optimized crystal structure of NpUAs at the PBE-GGA level of DFT.

calculated volume = 18.7 Å³/atom
calculated formation energy = -1.01 eV/f.u.
ΔE to the lowest computed polymorph = 29.0 kJ/mol of atoms

abc: 5.267 5.267 5.267
angles: 141.49 141.49 55.60
Atoms (fractional coordinates):
Np 0.000 0.000 0.000
U 0.609 0.609 0.000
As 0.306 0.306 0.000